Compound: Mn2BeNbF
Source: Alexandria
Functional: PBE with a Hubbard U
Structure: relaxed

## Properties
**Calculated density**: 5.8 g/cm³
**N(E_F)**: 3.03 states/eV/f.u.
**Electronic total energy**: -4.811 eV per atom
**Spin magnetization**: 0.105 μB per atom

abc: 3.9781 3.9781 4.2006
angles: 90.00 90.00 90.00
Last column: nearest neighbours and their distance in Å.
Fractional coordinates of all 5 atoms:
Mn (0.0000, 0.5000, 0.0000)  2 F 1.99
Mn (0.5000, 0.0000, 0.0000)  2 F 1.99
Be (0.0000, 0.0000, 0.5000)  4 Nb 2.81, 8 Mn 2.89
Nb (0.5000, 0.5000, 0.5000)  2 F 2.10
F (0.5000, 0.5000, 0.0000)  4 Mn 1.99, 2 Nb 2.10